Below is an optimized crystal structure of MnReF3, with properties calculated at the PBE with a Hubbard U level.

abc: 4.302 4.302 4.302
angles: 90.00 90.00 90.00
Space group Pm-3m (No. 221)
One atom of each set of equivalent atoms:
Mn 0.000 0.000 0.000 (multiplicity 1)
Re 0.500 0.500 0.500 (multiplicity 1)
F 0.000 0.000 0.500 (multiplicity 3)

Computed properties:
Energy above the lowest structure with this stoichiometry: 0.0000 eV per atom
Energy: -5.93 eV per atom
Calculated volume: 79.6 Å³ per cell
DOS(E_F): 0.451 states/eV/cell